No. 1
Below is a relaxed SrSb3Mo crystal, with properties calculated at the GGA-PBE level.

Formation energy from raw total energies (eV per formula unit): 0.1
VASP energy (hartree per atom): -0.1819
Mass density (Mg/m³): 5.97

Cell lengths 5.3437, 5.3437, 5.3437 Å; angles 90.00, 90.00, 90.00 degrees
Closest atoms and distances in Å follow each position.
Space group Pm-3m (No. 221)
Inequivalent atoms, fractional coordinates:
Sr  0.0000  0.0000  0.0000  12 Sb 3.78
Sb  0.0000  0.5000  0.5000  2 Mo 2.67
Mo  0.5000  0.5000  0.5000  6 Sb 2.67

---

No. 2
Below is a relaxed SrSbMo2 crystal, with properties calculated at the GGA-PBE level.

Formation energy from raw total energies (eV per formula unit): 1.5
VASP energy (hartree per atom): -0.2385
Mass density (Mg/m³): 6.74

Cell lengths 10.0773, 3.4403, 5.8134 Å; angles 90.00, 100.97, 90.00 degrees
Closest atoms and distances in Å follow each position.
Space group C2/m (No. 12)
Inequivalent atoms, fractional coordinates:
Sr  0.0000  0.0000  0.0000  4 Sb 3.38, 2 Sr 3.44, 6 Mo 3.45-3.50
Sb  0.0000  0.5000  0.5000  6 Mo 2.92-2.93
Mo  0.2365  0.0000  0.6411  2 Mo 2.43

---

No. 3
Below is a relaxed SrSbMo2 crystal, with properties calculated at the GGA-PBE level.

Formation energy from raw total energies (eV per formula unit): 4.0
VASP energy (hartree per atom): -0.2158
Mass density (Mg/m³): 7.87

Cell lengths 6.0220, 9.6926, 2.9020 Å; angles 90.00, 90.00, 90.00 degrees
Closest atoms and distances in Å follow each position.
Space group Cmmm (No. 65)
Inequivalent atoms, fractional coordinates:
Sr  0.0000  0.0000  0.0000  2 Sr 2.90, 2 Sb 3.01, 8 Mo 3.20
Sb  0.0000  0.5000  0.0000  2 Sb 2.90, 2 Sr 3.01, 8 Mo 3.20
Mo  0.2500  0.2500  0.5000  4 Mo 2.90-3.01, 4 Sb 3.20, 4 Sr 3.20

---

No. 4
Below is a relaxed SrSbMo2 crystal, with properties calculated at the GGA-PBE level.

Formation energy from raw total energies (eV per formula unit): 3.5
VASP energy (hartree per atom): -0.2200
Mass density (Mg/m³): 7.68

Cell lengths 3.2429, 3.2429, 28.5662 Å; angles 90.00, 90.00, 120.00 degrees
Closest atoms and distances in Å follow each position.
Space group R-3m (No. 166, hexagonal axes)
Inequivalent atoms, fractional coordinates:
Sr  0.0000  0.0000  0.0000  6 Sr 3.24, 6 Mo 3.30
Sb  0.0000  0.0000  0.5000  6 Mo 2.77
Mo  0.0000  0.0000  0.2381  3 Sb 2.77

---

No. 5
Below is a relaxed SrSb4Mo crystal, with properties calculated at the GGA-PBE level.

Formation energy from raw total energies (eV per formula unit): 2.7
VASP energy (hartree per atom): -0.1611
Mass density (Mg/m³): 6.27

Cell lengths 8.9251, 8.9251, 8.9251 Å; angles 90.00, 90.00, 90.00 degrees
Closest atoms and distances in Å follow each position.
Space group F-43m (No. 216)
Inequivalent atoms, fractional coordinates:
Sr  0.0000  0.0000  0.0000  12 Sb 3.70, 4 Mo 3.86
Sb  0.1242  0.1242  0.3758  6 Sb 3.13-3.18
Mo  0.2500  0.2500  0.7500  12 Sb 3.70, 4 Sr 3.86

---

No. 6
Below is a relaxed SrSbMo2 crystal, with properties calculated at the GGA-PBE level.

Formation energy from raw total energies (eV per formula unit): 1.8
VASP energy (hartree per atom): -0.2359
Mass density (Mg/m³): 7.15

Cell lengths 3.3753, 3.3753, 28.3239 Å; angles 90.00, 90.00, 120.00 degrees
Closest atoms and distances in Å follow each position.
Space group R3m (No. 160, hexagonal axes)
Inequivalent atoms, fractional coordinates:
Sr  0.0000  0.0000  0.0000  3 Mo 3.34, 6 Sr 3.38, 3 Sb 3.49
Sb  0.0000  0.0000  0.2309  3 Mo 2.93
Mo  0.0000  0.0000  0.4869  3 Mo 2.55
Mo  0.0000  0.0000  0.7624  3 Mo 2.55